(1)
## LiThIn2Se4 (PBE)

Data for a geometry-optimized LiThIn2Se4 structure.

Summary:
Its mass density is 5.784 g/cm3. The space group is No. 10. For the formation energy (no corrections), the calculation gives -0.965 eV per atom. As for the density of states at the Fermi level: 0.344 states/eV per atom. The magnetic moment is 0.0 μB per formula unit.

The structure in extended XYZ format:
```
8
Lattice="7.312 0.000 0.000 0.000 4.226 0.000 -2.346 0.000 7.288" Properties=species:S:1:pos:R:3 pbc="T T T"
Li 0.000 0.000 0.000
Th 3.656 2.113 0.000
In -1.173 2.113 3.644
In 2.483 0.000 3.644
Se 0.082 0.000 5.685
Se 1.375 2.113 1.771
Se 3.591 2.113 5.516
Se 4.884 0.000 1.603
```

(2)
## CdBiTe2 (PBE)

Data for a geometry-optimized CdBiTe2 structure.

Summary:
Its mass density is 5.660 g/cm3. The space group is No. 166. The calculation puts the relative energy among the computed polymorphs at 0.73 eV per formula unit. For the formation energy (no corrections), the calculation gives -0.021 eV per atom. As for the density of states at the Fermi level: 0.457 states/eV per atom. The magnetic moment is 0.0 μB per formula unit.

The structure in extended XYZ format:
```
4
Lattice="2.301 1.328 9.226 -2.301 1.328 9.226 0.000 -2.656 9.226" Properties=species:S:1:pos:R:3 pbc="T T T"
Cd 0.000 0.000 0.000
Bi 0.000 0.000 13.839
Te 0.000 0.000 2.850
Te 0.000 0.000 24.828
```

(3)
## NbFeAu2N (PBE)

Data for a geometry-optimized NbFeAu2N structure.

Summary:
Its mass density is 12.069 g/cm3. The space group is No. 123. For the formation energy (no corrections), the calculation gives 0.673 eV per atom. As for the density of states at the Fermi level: 0.605 states/eV per atom. The magnetic moment is 0.0 μB per formula unit.

The structure in extended XYZ format:
```
5
Lattice="4.306 0.000 0.000 0.000 4.306 0.000 0.000 0.000 4.131" Properties=species:S:1:pos:R:3 pbc="T T T"
Nb 0.000 0.000 0.000
Fe 2.153 2.153 0.000
Au 0.000 2.153 2.065
Au 2.153 0.000 2.065
N 0.000 0.000 2.065
```